i | First-principles (GGA-PBE) data for a relaxed structure of MgCrSb2, as listed in the Alexandria database.

Cell: 6.2965 7.6287 3.7384 Å, 90.00 90.85 90.00°
Last column: nearest neighbours and their distance in Å.
Space group C2/m (No. 12)
One atom of each set of equivalent atoms:
Mg: 0.0000 0.0000 0.0000 x2  8 Sb 3.09-3.11, 2 Cr 3.15
Cr: 0.0000 0.5000 0.0000 x2  8 Sb 3.09-3.11, 2 Mg 3.15
Sb: 0.2500 0.2500 0.5000 x4  4 Cr 3.09-3.11, 4 Mg 3.09-3.11, 2 Sb 3.15

Computed properties:
magnetic moment	3.7	μB per formula unit
density of states at the Fermi level	0.451	states/eV per atom
crystal system	monoclinic



ii | First-principles (GGA-PBE) data for a relaxed structure of MgCrSb2, as listed in the Alexandria database.

Cell: 3.1679 3.7054 7.6288 Å, 90.00 94.18 90.00°
Last column: nearest neighbours and their distance in Å.
Space group P2/m (No. 10)
One atom of each set of equivalent atoms:
Mg: 0.0000 0.0000 0.0000 x1  8 Sb 3.11-3.39, 2 Mg 3.17
Cr: 0.0000 0.0000 0.5000 x1  8 Sb 2.95-2.96, 2 Cr 3.17
Sb: 0.4609 0.5000 0.2807 x2  4 Cr 2.95-2.96, 2 Mg 3.11, 2 Sb 3.17

Computed properties:
magnetic moment	3.2	μB per formula unit
density of states at the Fermi level	0.500	states/eV per atom
crystal system	monoclinic



iii | First-principles (GGA-PBE) data for a relaxed structure of MgCrSb2, as listed in the Alexandria database.

Cell: 3.3055 3.3055 30.1987 Å, 90.00 90.00 120.00°
Last column: nearest neighbours and their distance in Å.
Space group R3m (No. 160, hexagonal axes)
One atom of each set of equivalent atoms:
Mg: 0.0000 0.0000 0.0000 x3  3 Cr 3.01, 3 Sb 3.10, 6 Mg 3.31
Cr: 0.0000 0.0000 0.2563 x3  3 Sb 2.82, 3 Mg 3.01
Sb: 0.0000 0.0000 0.5207 x3  3 Cr 2.82
Sb: 0.0000 0.0000 0.7474 x3  3 Mg 3.10, 6 Sb 3.31

Computed properties:
magnetic moment	3.8	μB per formula unit
density of states at the Fermi level	0.773	states/eV per atom
crystal system	trigonal



The least stable of them is iii.



i | First-principles (GGA-PBE) data for a relaxed structure of MgCrSb2, as listed in the Alexandria database.

Cell: 3.3063 4.6218 5.9944 Å, 90.00 90.00 90.00°
Last column: nearest neighbours and their distance in Å.
Space group Pmm2 (No. 25)
One atom of each set of equivalent atoms:
Mg: 0.0000 0.0000 0.0000 x1  6 Sb 2.88-3.12
Cr: 0.5000 0.5000 0.6363 x1  6 Sb 2.93-3.04
Sb: 0.0000 0.0000 0.5201 x1  2 Mg 2.88-3.12, 4 Cr 2.93
Sb: 0.5000 0.5000 0.1293 x1  4 Mg 2.95, 2 Cr 2.95-3.04

Computed properties:
magnetic moment	3.5	μB per formula unit
density of states at the Fermi level	0.526	states/eV per atom
crystal system	orthorhombic



ii | First-principles (GGA-PBE) data for a relaxed structure of MgCrSb2, as listed in the Alexandria database.

Cell: 3.9394 3.9394 20.9829 Å, 90.00 90.00 120.00°
Last column: nearest neighbours and their distance in Å.
Space group R-3m (No. 166, hexagonal axes)
One atom of each set of equivalent atoms:
Mg: 0.0000 0.0000 0.0000 x3  6 Sb 3.01
Cr: 0.0000 0.0000 0.5000 x3  6 Sb 2.74
Sb: 0.0000 0.0000 0.2396 x6  3 Cr 2.74, 3 Mg 3.01

Computed properties:
magnetic moment	2.6	μB per formula unit
density of states at the Fermi level	0.197	states/eV per atom
crystal system	trigonal



iii | First-principles (GGA-PBE) data for a relaxed structure of MgCrSb2, as listed in the Alexandria database.

Cell: 7.2101 7.2101 7.2101 Å, 90.00 90.00 90.00°
Last column: nearest neighbours and their distance in Å.
Space group F-43m (No. 216)
One atom of each set of equivalent atoms:
Mg: 0.0000 0.0000 0.0000 x4  4 Sb 3.12, 4 Cr 3.12
Cr: 0.2500 0.2500 0.2500 x4  4 Mg 3.12, 4 Sb 3.12
Sb: 0.0000 0.0000 0.5000 x4  4 Cr 3.12, 4 Sb 3.12
Sb: 0.2500 0.2500 0.7500 x4  4 Sb 3.12, 4 Mg 3.12

Computed properties:
magnetic moment	4.0	μB per formula unit
density of states at the Fermi level	0.572	states/eV per atom
crystal system	cubic



The least stable of them is iii.



i | First-principles (GGA-PBE) data for a relaxed structure of MgCrSb2, as listed in the Alexandria database.

Cell: 4.7680 4.7680 7.8815 Å, 90.00 90.00 90.00°
Last column: nearest neighbours and their distance in Å.
Space group I4/mmm (No. 139)
One atom of each set of equivalent atoms:
Mg: 0.0000 0.0000 0.0000 x2  8 Sb 3.09, 4 Cr 3.37
Cr: 0.0000 0.0000 0.5000 x2  8 Sb 3.09, 4 Mg 3.37
Sb: 0.0000 0.5000 0.2500 x4  4 Mg 3.09, 4 Cr 3.09, 4 Sb 3.37

Computed properties:
magnetic moment	3.6	μB per formula unit
density of states at the Fermi level	0.555	states/eV per atom
crystal system	tetragonal



ii | First-principles (GGA-PBE) data for a relaxed structure of MgCrSb2, as listed in the Alexandria database.

Cell: 4.1608 4.1608 10.2599 Å, 90.00 90.00 90.00°
Last column: nearest neighbours and their distance in Å.
Space group I-4m2 (No. 119)
One atom of each set of equivalent atoms:
Mg: 0.0000 0.0000 0.0000 x2  4 Sb 2.94
Cr: 0.0000 0.5000 0.2500 x2  4 Sb 2.94
Sb: 0.0000 0.0000 0.5000 x2  4 Mg 2.94
Sb: 0.0000 0.5000 0.7500 x2  4 Cr 2.94

Computed properties:
magnetic moment	3.7	μB per formula unit
density of states at the Fermi level	0.542	states/eV per atom
crystal system	tetragonal



The least stable of them is i.



i | First-principles (GGA-PBE) data for a relaxed structure of MgCrSb2Te, as listed in the Alexandria database.

Cell: 5.3201 5.3201 5.5024 Å, 90.00 90.00 90.00°
Last column: nearest neighbours and their distance in Å.
Space group P4/mmm (No. 123)
One atom of each set of equivalent atoms:
Mg: 0.0000 0.0000 0.0000 x1  4 Sb 2.66, 2 Te 2.75
Cr: 0.5000 0.5000 0.5000 x1  4 Te 3.76, 8 Sb 3.83
Sb: 0.0000 0.5000 0.0000 x2  2 Mg 2.66
Te: 0.0000 0.0000 0.5000 x1  2 Mg 2.75

Computed properties:
magnetic moment	4.4	μB per formula unit
density of states at the Fermi level	0.797	states/eV per atom
crystal system	tetragonal



ii | First-principles (GGA-PBE) data for a relaxed structure of MgCrSb2Te, as listed in the Alexandria database.

Cell: 5.0167 5.0167 5.6131 Å, 90.00 90.00 90.00°
Last column: nearest neighbours and their distance in Å.
Space group P4/mmm (No. 123)
One atom of each set of equivalent atoms:
Mg: 0.0000 0.0000 0.0000 x1  4 Te 3.55, 8 Sb 3.76
Cr: 0.5000 0.5000 0.5000 x1  4 Sb 2.51, 2 Te 2.81
Sb: 0.0000 0.5000 0.5000 x2  2 Cr 2.51
Te: 0.5000 0.5000 0.0000 x1  2 Cr 2.81

Computed properties:
magnetic moment	2.0	μB per formula unit
density of states at the Fermi level	0.630	states/eV per atom
crystal system	tetragonal



The least stable of them is i.



i | First-principles (GGA-PBE) data for a relaxed structure of MgScCr3, as listed in the Alexandria database.

Cell: 4.7555 4.7555 4.7555 Å, 90.00 90.00 90.00°
Last column: nearest neighbours and their distance in Å.
Space group Pm-3m (No. 221)
One atom of each set of equivalent atoms:
Mg: 0.0000 0.0000 0.0000 x1  12 Cr 3.36
Sc: 0.5000 0.5000 0.5000 x1  6 Cr 2.38
Cr: 0.0000 0.5000 0.5000 x3  2 Sc 2.38

Computed properties:
magnetic moment	10.7	μB per formula unit
density of states at the Fermi level	0.563	states/eV per atom
crystal system	cubic



ii | First-principles (GGA-PBE) data for a relaxed structure of MgScCr3, as listed in the Alexandria database.

Cell: 4.7643 4.7643 4.7643 Å, 90.00 90.00 90.00°
Last column: nearest neighbours and their distance in Å.
Space group Pm-3m (No. 221)
One atom of each set of equivalent atoms:
Mg: 0.0000 0.0000 0.0000 x1  6 Cr 2.38
Sc: 0.5000 0.5000 0.5000 x1  12 Cr 3.37
Cr: 0.0000 0.0000 0.5000 x3  2 Mg 2.38

Computed properties:
magnetic moment	11.0	μB per formula unit
density of states at the Fermi level	1.167	states/eV per atom
crystal system	cubic



The least stable of them is i.



i | First-principles (GGA-PBE) data for a relaxed structure of MgSc2TlCr, as listed in the Alexandria database.

Cell: 5.4175 5.4175 5.1387 Å, 90.00 90.00 90.00°
Last column: nearest neighbours and their distance in Å.
Space group P4/mmm (No. 123)
One atom of each set of equivalent atoms:
Mg: 0.0000 0.0000 0.0000 x1  2 Tl 2.57
Sc: 0.0000 0.5000 0.5000 x2  2 Tl 2.71
Tl: 0.0000 0.0000 0.5000 x1  2 Mg 2.57, 4 Sc 2.71
Cr: 0.5000 0.5000 0.0000 x1  8 Sc 3.73, 4 Mg 3.83

Computed properties:
magnetic moment	4.9	μB per formula unit
density of states at the Fermi level	1.641	states/eV per atom
crystal system	tetragonal



ii | First-principles (GGA-PBE) data for a relaxed structure of MgSc2TlCr, as listed in the Alexandria database.

Cell: 4.7660 4.7660 5.2350 Å, 90.00 90.00 90.00°
Last column: nearest neighbours and their distance in Å.
Space group P4/mmm (No. 123)
One atom of each set of equivalent atoms:
Mg: 0.0000 0.0000 0.0000 x1  4 Tl 3.37, 8 Sc 3.54
Sc: 0.0000 0.5000 0.5000 x2  2 Cr 2.38
Tl: 0.5000 0.5000 0.0000 x1  2 Cr 2.62
Cr: 0.5000 0.5000 0.5000 x1  4 Sc 2.38, 2 Tl 2.62

Computed properties:
magnetic moment	0.0	μB per formula unit
density of states at the Fermi level	0.954	states/eV per atom
crystal system	tetragonal



The least stable of them is i.



i | First-principles (GGA-PBE) data for a relaxed structure of Mg2Cr2Se, as listed in the Alexandria database.

Cell: 7.9845 7.9845 3.0164 Å, 90.00 90.00 90.00°
Last column: nearest neighbours and their distance in Å.
Space group P4/mbm (No. 127)
One atom of each set of equivalent atoms:
Mg: 0.2031 0.2969 0.0000 x4  2 Se 2.87, 6 Cr 2.87-2.89, 2 Mg 3.02
Cr: 0.0801 0.5801 0.5000 x4  1 Cr 1.81
Se: 0.0000 0.0000 0.0000 x2  4 Mg 2.87, 2 Se 3.02

Computed properties:
magnetic moment	0.0	μB per formula unit
density of states at the Fermi level	0.695	states/eV per atom
crystal system	tetragonal



ii | First-principles (GGA-PBE) data for a relaxed structure of Mg2Cr2Se, as listed in the Alexandria database.

Cell: 3.2740 3.2740 16.3827 Å, 90.00 90.00 90.00°
Last column: nearest neighbours and their distance in Å.
Space group I4/mmm (No. 139)
One atom of each set of equivalent atoms:
Mg: 0.0000 0.0000 0.1015 x4  4 Se 2.85, 4 Cr 2.93
Cr: 0.0000 0.5000 0.2500 x4  4 Cr 2.32
Se: 0.0000 0.0000 0.5000 x2  8 Mg 2.85

Computed properties:
magnetic moment	0.0	μB per formula unit
density of states at the Fermi level	0.878	states/eV per atom
crystal system	tetragonal



The least stable of them is i.



i | First-principles (GGA-PBE) data for a relaxed structure of MgCr2Se, as listed in the Alexandria database.

Cell: 3.4331 3.8700 5.4540 Å, 90.00 90.00 90.00°
Last column: nearest neighbours and their distance in Å.
Space group Pmm2 (No. 25)
One atom of each set of equivalent atoms:
Mg: 0.0000 0.0000 0.0000 x1  4 Se 2.86, 4 Cr 2.97-2.99
Cr: 0.0000 0.5000 0.4172 x1  4 Cr 2.59, 2 Se 2.61
Cr: 0.5000 0.0000 0.4444 x1  4 Cr 2.59, 2 Se 2.66
Se: 0.5000 0.5000 0.7781 x1  4 Cr 2.61-2.66, 4 Mg 2.86

Computed properties:
magnetic moment	0.2	μB per formula unit
density of states at the Fermi level	0.464	states/eV per atom
crystal system	orthorhombic



ii | First-principles (GGA-PBE) data for a relaxed structure of MgCr2Se, as listed in the Alexandria database.

Cell: 3.0267 3.0267 24.1307 Å, 90.00 90.00 120.00°
Last column: nearest neighbours and their distance in Å.
Space group R3m (No. 160, hexagonal axes)
One atom of each set of equivalent atoms:
Mg: 0.0000 0.0000 0.0000 x3  3 Cr 2.87, 3 Se 3.00, 6 Mg 3.03
Cr: 0.0000 0.0000 0.4900 x3  3 Cr 2.31, 3 Se 2.53
Cr: 0.0000 0.0000 0.7608 x3  3 Cr 2.31
Se: 0.0000 0.0000 0.2323 x3  3 Cr 2.53

Computed properties:
magnetic moment	0.0	μB per formula unit
density of states at the Fermi level	0.774	states/eV per atom
crystal system	trigonal



iii | First-principles (GGA-PBE) data for a relaxed structure of MgCr2Se, as listed in the Alexandria database.

Cell: 3.0424 3.0424 7.1183 Å, 90.00 90.00 90.00°
Last column: nearest neighbours and their distance in Å.
Space group P4mm (No. 99)
One atom of each set of equivalent atoms:
Mg: 0.0000 0.0000 0.0000 x1  5 Cr 2.82-2.98, 4 Mg 3.04
Cr: 0.0000 0.0000 0.5816 x1  4 Cr 2.44, 4 Se 2.57
Cr: 0.5000 0.5000 0.7442 x1  4 Cr 2.44, 1 Se 2.57
Se: 0.5000 0.5000 0.3834 x1  5 Cr 2.57

Computed properties:
magnetic moment	0.1	μB per formula unit
density of states at the Fermi level	0.758	states/eV per atom
crystal system	tetragonal



The least stable of them is ii.